MgCrH3C2O6 | PBE with a Hubbard U | relaxed

Calculated values
D(E_F) in states/eV per atom: 0.000
Calculated density in g/cm³: 2.16
VASP energy in eV per atom: -6.325
Total magnetic moment in μB/atom: 0.3846
Crystal system: triclinic
Space group: No. 2

```
26
Lattice="6.116 0.046 0.999 1.348 6.855 -0.717 1.933 0.990 7.494" Properties=species:S:1:pos:R:3 pbc="T T T"
Mg 6.141 4.030 4.672
Mg 3.256 3.862 3.104
Cr 3.180 6.188 -0.320
Cr 6.217 1.703 8.096
H 3.811 7.386 3.527
H 5.586 0.505 4.249
H 5.490 2.815 0.527
H 3.907 5.076 7.249
H 1.378 4.543 -0.325
H 8.019 3.349 8.101
C 4.937 5.479 1.974
C 4.460 2.413 5.802
C 7.447 5.965 5.798
C 1.951 1.926 1.978
O 5.777 6.309 1.500
O 3.620 1.582 6.276
O 6.149 5.805 6.003
O 3.248 2.087 1.773
O 5.167 4.791 3.049
O 4.230 3.100 4.727
O 8.131 6.927 6.272
O 1.266 0.964 1.504
O 7.970 5.032 5.066
O 1.427 2.860 2.710
O 5.636 2.674 6.349
O 3.761 5.217 1.427
```